# 1
The following is a DFT calculation (PBE-GGA) of Ba3TmBi2O9 after structural relaxation.

POSCAR file:
```
Ba3TmBi2O9
1.0
6.1713 0.0000 0.0000
-3.0857 5.3445 0.0000
0.0000 0.0000 7.5609
O Ba Bi Tm
9 3 2 1
Direct
0.0000 0.5000 0.0000
0.6641 0.8320 0.3324
0.5000 0.0000 0.0000
0.8320 0.6641 0.6676
0.1680 0.8320 0.3324
0.8320 0.1680 0.6676
0.3359 0.1680 0.6676
0.1680 0.3359 0.3324
0.5000 0.5000 0.0000
0.6667 0.3333 0.3335
0.3333 0.6667 0.6665
0.0000 0.0000 0.0000
0.3333 0.6667 0.1726
0.6667 0.3333 0.8274
0.0000 0.0000 0.5000
```

Values from the calculation:
Space-group type ... P-3m1, No. 164
Volume ... 16.6 Å³/atom
Electronic total energy ... -95.75 eV/cell

=====

# 2
The following is a DFT calculation (PBE-GGA) of Tb4Pm2DyHo after structural relaxation.

POSCAR file:
```
Tb4Pm2DyHo
1.0
-7.3751 -2.8316 5.3163
5.6256 -5.5534 5.3090
2.2569 10.7914 -4.2596
Ho Pm Tb Dy
2 4 8 2
Direct
0.0000 0.0000 0.0000
0.5000 0.5000 0.5000
0.5000 0.0000 0.0000
0.5000 0.0000 0.5000
0.5000 0.5000 0.0000
0.0000 0.0000 0.5000
0.2454 0.7520 0.9982
0.2520 0.7454 0.4982
0.2476 0.2509 0.4965
0.7524 0.7491 0.5035
0.7509 0.7476 0.9965
0.2491 0.2524 0.0035
0.7480 0.2546 0.5018
0.7546 0.2480 0.0018
0.0000 0.5000 0.0000
0.0000 0.5000 0.5000
```

Values from the calculation:
Space-group type ... C2/c, No. 15
Volume ... 33.5 Å³/atom
ΔE_f ... 422 meV/atom
Electronic total energy ... -67.65 eV/cell

=====

# 3
The following is a DFT calculation (PBE-GGA) of KFe8 after structural relaxation.

POSCAR file:
```
KFe8
1.0
-3.9883 3.9883 1.9030
3.9883 -3.9883 1.9030
3.9883 3.9883 -1.9030
Fe K
8 1
Direct
0.6921 0.3079 0.0000
0.6921 0.6921 0.3842
0.0000 0.6390 0.6390
0.3610 0.0000 0.3610
0.3079 0.6921 0.0000
0.6390 0.0000 0.6390
0.3079 0.3079 0.6158
0.0000 0.3610 0.3610
0.0000 0.0000 0.0000
```

Values from the calculation:
Space-group type ... I4/mmm, No. 139
Volume ... 13.5 Å³/atom
ΔE_f ... 708 meV/atom
Electronic total energy ... -62.43 eV/cell

=====

# 4
The following is a DFT calculation (PBE-GGA) of Sc7Cd2Ga2 after structural relaxation.

POSCAR file:
```
Sc7Cd2Ga2
1.0
5.9848 -0.0024 -0.7451
0.0038 7.6431 0.0030
-1.1165 -0.0020 5.9267
Sc Ga Cd
7 2 2
Direct
0.4999 0.7005 0.0001
0.0001 0.2995 0.4999
0.5000 0.6969 0.5000
0.5001 0.2995 0.9999
0.9999 0.7005 0.5001
0.0000 0.0000 0.0000
0.5000 0.3031 0.5000
0.8282 0.5000 0.8282
0.1718 0.5000 0.1718
0.3167 0.0000 0.6833
0.6833 0.0000 0.3167
```

Values from the calculation:
Space-group type ... Cmmm, No. 65
Volume ... 24.1 Å³/atom
ΔE_f ... -7 meV/atom
Electronic total energy ... -52.28 eV/cell